First-principles (GGA-PBE) data for crystalline Zn4TcPb at its relaxed geometry, as listed in Alexandria via LeMat-Bulk. Values from VASP.

Computed properties:
The value obtained for the formation energy is 278 meV per atom. As for the calculated density: 9.6 g cm⁻³. The density of states at the Fermi level is 5.11 states/eV per cell. For the total moment, the calculation gives 0.000 μB/atom. As for the space group: No. 216.

Geometry as Quantum ESPRESSO input:
```
&SYSTEM
  ibrav = 0, nat = 6, ntyp = 3
/
ATOMIC_SPECIES
Zn 65.41 Zn.upf
Tc 98.00 Tc.upf
Pb 207.20 Pb.upf
CELL_PARAMETERS angstrom
0.0000 3.6542 3.6542
3.6542 0.0000 3.6542
3.6542 3.6542 0.0000
ATOMIC_POSITIONS angstrom
Zn 2.7281 4.5803 4.5803
Zn 4.5803 4.5803 2.7281
Zn 4.5803 2.7281 4.5803
Zn 2.7281 2.7281 2.7281
Tc 0.0000 0.0000 0.0000
Pb 5.4814 5.4814 5.4814
```

---

First-principles (GGA-PBE) data for crystalline ZnTc4Pb at its relaxed geometry, as listed in Alexandria via LeMat-Bulk. Values from VASP.

Computed properties:
The value obtained for the formation energy is 570 meV per atom. As for the calculated density: 10.8 g cm⁻³. The density of states at the Fermi level is 5.21 states/eV per cell. For the total moment, the calculation gives 0.000 μB/atom. As for the space group: No. 216.

Geometry as Quantum ESPRESSO input:
```
&SYSTEM
  ibrav = 0, nat = 6, ntyp = 3
/
ATOMIC_SPECIES
Zn 65.41 Zn.upf
Tc 98.00 Tc.upf
Pb 207.20 Pb.upf
CELL_PARAMETERS angstrom
2.1270 -3.5574 3.2094
-3.0642 -3.4492 2.4886
0.0863 -5.0563 -1.3807
ATOMIC_POSITIONS angstrom
Zn -0.6382 -9.0472 3.2380
Tc 0.7404 -6.3014 3.2201
Tc -0.2765 -7.0483 0.9329
Tc -1.8464 -6.2475 2.8609
Tc -0.3195 -4.5287 1.6209
Pb 0.0000 0.0000 0.0000
```

---

First-principles (GGA-PBE) data for crystalline ZnTc2Pb at its relaxed geometry, as listed in Alexandria via LeMat-Bulk. Values from VASP.

Computed properties:
The value obtained for the formation energy is 484 meV per atom. As for the calculated density: 11.3 g cm⁻³. The density of states at the Fermi level is 3.66 states/eV per cell. For the total moment, the calculation gives 0.000 μB/atom. As for the space group: No. 12.

Geometry as Quantum ESPRESSO input:
```
&SYSTEM
  ibrav = 0, nat = 4, ntyp = 3
/
ATOMIC_SPECIES
Pb 207.20 Pb.upf
Tc 98.00 Tc.upf
Zn 65.41 Zn.upf
CELL_PARAMETERS angstrom
-4.3172 -0.5575 1.8476
-3.5586 -3.0954 0.3440
1.1692 -2.3000 4.4721
ATOMIC_POSITIONS angstrom
Pb -5.0299 -4.4647 4.9978
Tc -7.7806 -3.7382 2.3837
Tc -3.4485 -2.8911 3.1398
Zn -1.6766 -1.4882 1.6659
```

---

First-principles (GGA-PBE) data for crystalline Zn2TcPb at its relaxed geometry, as listed in Alexandria via LeMat-Bulk. Values from VASP.

Computed properties:
The value obtained for the formation energy is 385 meV per atom. As for the calculated density: 9.5 g cm⁻³. The density of states at the Fermi level is 2.65 states/eV per cell. For the total moment, the calculation gives 0.201 μB/atom. As for the space group: No. 166.

Geometry as Quantum ESPRESSO input:
```
&SYSTEM
  ibrav = 0, nat = 4, ntyp = 3
/
ATOMIC_SPECIES
Pb 207.20 Pb.upf
Tc 98.00 Tc.upf
Zn 65.41 Zn.upf
CELL_PARAMETERS angstrom
9.5395 0.0200 0.0118
9.0391 3.0491 0.0118
9.0391 1.4932 2.6585
ATOMIC_POSITIONS angstrom
Pb 6.9044 1.1406 0.6705
Tc 20.7132 3.4218 2.0115
Zn 0.3606 0.0596 0.0350
Zn 13.4482 2.2216 1.3060
```

---

First-principles (GGA-PBE) data for crystalline Zn2TcPb at its relaxed geometry, as listed in Alexandria via LeMat-Bulk. Values from VASP.

Computed properties:
The value obtained for the formation energy is 303 meV per atom. As for the calculated density: 10.6 g cm⁻³. The density of states at the Fermi level is 1.13 states/eV per cell. For the total moment, the calculation gives 0.209 μB/atom. As for the space group: No. 44.

Geometry as Quantum ESPRESSO input:
```
&SYSTEM
  ibrav = 0, nat = 4, ntyp = 3
/
ATOMIC_SPECIES
Pb 207.20 Pb.upf
Tc 98.00 Tc.upf
Zn 65.41 Zn.upf
CELL_PARAMETERS angstrom
-4.4883 -2.4849 -0.7098
-3.2950 -2.5527 3.0741
-3.1335 2.2036 1.0277
ATOMIC_POSITIONS angstrom
Pb -5.4568 -1.4143 1.6955
Tc -8.1872 -2.1248 2.5438
Zn -3.1369 2.1980 1.0287
Zn -2.7279 -0.7063 0.8476
```

---

First-principles (GGA-PBE) data for crystalline ZnTc2Pb at its relaxed geometry, as listed in Alexandria via LeMat-Bulk. Values from VASP.

Computed properties:
The value obtained for the formation energy is 653 meV per atom. As for the calculated density: 11.4 g cm⁻³. The density of states at the Fermi level is 2.46 states/eV per cell. For the total moment, the calculation gives 0.000 μB/atom. As for the space group: No. 166.

Geometry as Quantum ESPRESSO input:
```
&SYSTEM
  ibrav = 0, nat = 4, ntyp = 3
/
ATOMIC_SPECIES
Pb 207.20 Pb.upf
Tc 98.00 Tc.upf
Zn 65.41 Zn.upf
CELL_PARAMETERS angstrom
-2.6007 -3.5867 -7.5223
0.3593 -3.2157 -8.1082
-0.5954 -5.6789 -6.6037
ATOMIC_POSITIONS angstrom
Pb -2.1276 -9.3610 -16.6757
Tc -2.8244 -12.4266 -22.1367
Tc -1.4309 -6.2954 -11.2146
Zn -0.7092 -3.1203 -5.5586
```

---

First-principles (GGA-PBE) data for crystalline Zn2TcPb at its relaxed geometry, as listed in Alexandria via LeMat-Bulk. Values from VASP.

Computed properties:
The value obtained for the formation energy is 383 meV per atom. As for the calculated density: 9.3 g cm⁻³. The density of states at the Fermi level is 2.65 states/eV per cell. For the total moment, the calculation gives 0.000 μB/atom. As for the space group: No. 6.

Geometry as Quantum ESPRESSO input:
```
&SYSTEM
  ibrav = 0, nat = 4, ntyp = 3
/
ATOMIC_SPECIES
Pb 207.20 Pb.upf
Tc 98.00 Tc.upf
Zn 65.41 Zn.upf
CELL_PARAMETERS angstrom
-4.1514 0.3253 0.3541
-0.2092 -2.8860 0.1988
0.6073 0.8504 6.3381
ATOMIC_POSITIONS angstrom
Pb 0.2410 -0.5945 3.3710
Tc -1.7102 -1.1056 5.6265
Zn 0.5357 0.2208 6.0772
Zn -2.0134 -0.3984 1.4228
```

---

First-principles (GGA-PBE) data for crystalline ZnTc2Pb at its relaxed geometry, as listed in Alexandria via LeMat-Bulk. Values from VASP.

Computed properties:
The value obtained for the formation energy is 591 meV per atom. As for the calculated density: 11.5 g cm⁻³. The density of states at the Fermi level is 4.86 states/eV per cell. For the total moment, the calculation gives 0.125 μB/atom. As for the space group: No. 71.

Geometry as Quantum ESPRESSO input:
```
&SYSTEM
  ibrav = 0, nat = 4, ntyp = 3
/
ATOMIC_SPECIES
Pb 207.20 Pb.upf
Tc 98.00 Tc.upf
Zn 65.41 Zn.upf
CELL_PARAMETERS angstrom
-3.4700 -2.8699 -2.8223
1.2803 -0.6023 -5.1225
1.4739 -0.9096 5.0242
ATOMIC_POSITIONS angstrom
Pb 0.8297 -1.6240 -2.0353
Tc -2.1643 -3.4320 -7.8527
Tc -1.1202 -1.7763 -4.0644
Zn -1.5455 -2.7578 -0.8852
```